## Tb2LuAl7Cu2 (GGA-PBE)

Data for a relaxed structure of Tb2LuAl7Cu2.

The space group is R-3m (No. 166, hexagonal axes) and the conventional cell measures 5.4817, 5.4817 and 25.3619 Å, with angles of 90.00, 90.00 and 120.00 degrees. The distinct sites, in fractional coordinates, are Tb at (0.0000, 0.0000, 0.1419), Lu at (0.0000, 0.0000, 0.0000), Al at (0.0000, 0.0000, 0.5000), Al at (0.0063, 0.5031, 0.9215) and Cu at (0.0000, 0.0000, 0.3354).

As for the volume: 18.33 Å³ per atom. The electronic total energy is -4.417 eV/atom.



## Lu2AsAu (GGA-PBE)

Data for a relaxed structure of Lu2AsAu.

The space group is F-43m (No. 216) and the conventional cell measures 7.072, 7.072 and 7.072 Å, with angles of 90.00, 90.00 and 90.00 degrees. The distinct sites, in fractional coordinates, are Lu at (0.000, 0.000, 0.000), Lu at (0.250, 0.250, 0.250), As at (0.000, 0.000, 0.500) and Au at (0.250, 0.250, 0.750).

As for the volume: 22.11 Å³ per atom. The electronic total energy is -4.413 eV/atom.



## AgGeAsO (GGA-PBE)

Data for a relaxed structure of AgGeAsO.

The space group is P4/nmm (No. 129, origin choice 2) and the conventional cell measures 4.340, 4.340 and 8.422 Å, with angles of 90.00, 90.00 and 90.00 degrees. The distinct sites, in fractional coordinates, are Ag at (0.250, 0.250, 0.037), Ge at (0.250, 0.750, 0.500), As at (0.250, 0.250, 0.674) and O at (0.250, 0.750, 0.000).

As for the volume: 19.83 Å³ per atom. For the energy above the most stable polymorph in this dataset, the calculation gives 627.1 meV per atom.



## Tm3In3AgIrAu (GGA-PBE)

Data for a relaxed structure of Tm3In3AgIrAu.

The space group is P-6 (No. 174) and the conventional cell measures 7.8340, 7.8340 and 3.7328 Å, with angles of 90.00, 90.00 and 120.00 degrees. The distinct sites, in fractional coordinates, are Tm at (0.0867, 0.7284, 0.0000), In at (0.3956, 0.0650, 0.5000), Ag at (0.6667, 0.3333, 0.0000), Ir at (0.3333, 0.6667, 0.5000) and Au at (0.0000, 0.0000, 0.5000).

As for the volume: 22.04 Å³ per atom. The electronic total energy is -4.726 eV/atom.



## ZnCu2SiSeS3 (GGA-PBE)

Data for a relaxed structure of ZnCu2SiSeS3.

The space group is Cm (No. 8) and the conventional cell measures 7.565, 7.500 and 6.514 Å, with angles of 90.00, 125.09 and 90.00 degrees. The distinct sites, in fractional coordinates, are Zn at (0.000, 0.000, 0.000), Cu at (0.003, 0.265, 0.520), Si at (0.487, 0.000, 0.001), Se at (0.359, 0.500, 0.261), S at (0.370, 0.233, 0.758) and S at (0.381, 0.000, 0.246).

As for the volume: 18.90 Å³ per atom. The electronic total energy is -4.257 eV/atom.



## ErBe2 (GGA-PBE)

Data for a relaxed structure of ErBe2.

The space group is Fd-3m (No. 227, origin choice 2) and the conventional cell measures 7.063, 7.063 and 7.063 Å, with angles of 90.00, 90.00 and 90.00 degrees. The distinct sites, in fractional coordinates, are Er at (0.125, 0.125, 0.125) and Be at (0.000, 0.000, 0.500).

As for the volume: 14.68 Å³ per atom. The electronic total energy is -3.945 eV/atom.



## SmTmAlTe3 (GGA-PBE)

Data for a relaxed structure of SmTmAlTe3.

The space group is Cmcm (No. 63) and the conventional cell measures 4.126, 15.338 and 10.464 Å, with angles of 90.00, 90.00 and 90.00 degrees. The distinct sites, in fractional coordinates, are Sm at (0.000, 0.218, 0.250), Tm at (0.000, 0.000, 0.000), Al at (0.000, 0.477, 0.750), Te at (0.000, 0.119, 0.750) and Te at (0.000, 0.350, 0.543).

As for the volume: 27.59 Å³ per atom. The electronic total energy is -4.630 eV/atom.



## Fe2Ge (GGA-PBE)

Data for a relaxed structure of Fe2Ge.

The space group is I4/mcm (No. 140) and the conventional cell measures 5.530, 5.530 and 5.015 Å, with angles of 90.00, 90.00 and 90.00 degrees. The distinct sites, in fractional coordinates, are Fe at (0.150, 0.350, 0.000) and Ge at (0.000, 0.000, 0.250).

As for the volume: 12.78 Å³ per atom. The electronic total energy is -6.963 eV/atom.